A plane-wave DFT calculation with PBE was carried out for a relaxed Sc2AlGa2 crystal.

a = 3.9754 Å, b = 5.7324 Å, c = 8.4068 Å
α = 90.00°, β = 90.00°, γ = 90.00°
Space group Immm (No. 71)
Inequivalent atoms, fractional coordinates:
Sc 0.0000 0.0000 0.2109 x4
Al 0.0000 0.5000 0.0000 x2
Ga 0.0000 0.2821 0.5000 x4

Computed properties:
* total moment: 0.00 μB/f.u.
* total energy: -5.01 eV/atom
* crystal system: orthorhombic
* D(E_F): 7.5 states/eV per cell
* calculated formation energy: -0.52 eV/atom
* energy above the lowest structure with this stoichiometry: 79 meV per atom